Density functional theory data (PBE) for crystalline USi2PtRh at its relaxed geometry.

abc: 3.9983 3.9983 5.9053
angles: 109.79 109.79 90.00
Fractional positions:
U  0.0000  0.0000  0.0000
Si  0.6123  0.6123  0.2247
Si  0.3877  0.3877  0.7753
Pt  0.2500  0.7500  0.5000
Rh  0.7500  0.2500  0.5000

Properties
raw formation energy = -0.79 eV per atom
electronic total energy = -39.5 eV/f.u.